Entry 1:
A plane-wave DFT calculation with PBE was carried out for an optimized crystal structure of Ba2Na2Hg.

Excess energy over the best structure of this formula in the dataset (eV/atom): 0.169
Density (g cm⁻³): 4.16
Calculated formation energy (eV per atom): -0.067

Cell lengths 8.385, 8.385, 5.917 Å; angles 90.00, 90.00, 90.00 degrees
Space group P4/mbm (No. 127)
Unique sites:
Ba1 0.182 0.318 0.000 (multiplicity 4)
Na1 0.137 0.637 0.500 (multiplicity 4)
Hg1 0.000 0.000 0.500 (multiplicity 2)

***

Entry 2:
A plane-wave DFT calculation with PBE was carried out for an optimized crystal structure of Ac4Si2Br3.

Excess energy over the best structure of this formula in the dataset (eV/atom): 0.000
Density (g cm⁻³): 5.95

Cell lengths 7.947, 4.588, 18.428 Å; angles 90.00, 90.05, 90.00 degrees
Space group C2/m (No. 12)
Unique sites:
Ac1 0.001 0.000 0.300 (multiplicity 4)
Ac2 0.166 0.500 0.884 (multiplicity 4)
Si1 0.167 0.500 0.205 (multiplicity 4)
Br1 0.000 0.000 0.000 (multiplicity 2)
Br2 0.166 0.500 0.600 (multiplicity 4)

***

Entry 3:
A plane-wave DFT calculation with PBE was carried out for an optimized crystal structure of AsHSCl2.

Excess energy over the best structure of this formula in the dataset (eV/atom): 0.000
Density (g cm⁻³): 2.47

Cell lengths 5.032, 5.032, 4.753 Å; angles 90.00, 90.00, 90.00 degrees
Space group P4/mmm (No. 123)
Unique sites:
As1 0.000 0.000 0.000 (multiplicity 1)
H1 0.500 0.500 0.500 (multiplicity 1)
S1 0.000 0.000 0.500 (multiplicity 1)
Cl1 0.000 0.500 0.000 (multiplicity 2)

***

> What is the density in the first record?

4.16 g cm⁻³